1.
Computed, not measured: Pm12Pr3Dy after structural relaxation at the GGA-PBE level of DFT.

Geometry as POSCAR:
```
Pm12Pr3Dy
1.0
5.167 0.000 0.000
0.000 5.167 0.000
0.000 0.000 20.665
Pm Pr Dy
12 3 1
direct
0.000 0.000 0.000
0.000 0.000 0.248
0.000 0.000 0.500
0.000 0.000 0.752
0.000 0.500 0.123
0.000 0.500 0.374
0.000 0.500 0.626
0.000 0.500 0.877
0.500 0.000 0.123
0.500 0.000 0.374
0.500 0.000 0.626
0.500 0.000 0.877
0.500 0.500 0.249
0.500 0.500 0.500
0.500 0.500 0.751
0.500 0.500 0.000
```

Properties
The density of states at the Fermi level comes out at 24.32 states/eV per cell. The energy relative to the elements comes out at 0.01 eV per atom.

2.
Computed, not measured: PmPr2Dy5 after structural relaxation at the GGA-PBE level of DFT.

Geometry as POSCAR:
```
PmPr2Dy5
1.0
7.193 0.000 0.000
0.000 14.390 0.000
0.000 0.000 5.091
Pm Pr Dy
2 4 10
direct
0.000 0.000 0.000
0.500 0.500 0.000
0.248 0.374 0.500
0.252 0.874 0.500
0.748 0.126 0.500
0.752 0.626 0.500
0.000 0.500 0.000
0.002 0.749 0.000
0.249 0.125 0.500
0.251 0.625 0.500
0.498 0.249 0.000
0.500 0.000 0.000
0.502 0.751 0.000
0.749 0.375 0.500
0.751 0.875 0.500
0.998 0.251 0.000
```

Properties
The polymorph energy (0 for the lowest one) comes out at 0.0 meV/atom. The density of states at the Fermi level comes out at 22.41 states/eV per cell. The energy relative to the elements comes out at 0.02 eV per atom.

3.
Computed, not measured: Pm8Pr3Dy4 after structural relaxation at the GGA-PBE level of DFT.

Geometry as POSCAR:
```
Pm8Pr3Dy4
1.0
7.028 -6.132 0.000
7.028 6.132 0.000
-3.390 0.000 6.036
Pm Pr Dy
8 3 4
direct
0.204 0.204 0.201
0.205 0.795 0.000
0.253 0.253 0.752
0.253 0.747 0.500
0.747 0.253 0.500
0.747 0.747 0.248
0.795 0.205 0.000
0.796 0.796 0.799
0.000 0.000 0.500
0.000 0.500 0.500
0.500 0.000 0.500
0.000 0.500 0.000
0.500 0.000 0.000
0.500 0.500 0.000
0.500 0.500 0.500
```

Properties
The density of states at the Fermi level comes out at 24.08 states/eV per cell. The energy relative to the elements comes out at 0.33 eV per atom.

4.
Computed, not measured: PmPr3Dy8 after structural relaxation at the GGA-PBE level of DFT.

Geometry as POSCAR:
```
PmPr3Dy8
1.0
-4.383 4.383 5.685
4.383 -4.383 5.685
4.383 4.383 -5.685
Pm Pr Dy
1 3 8
direct
0.000 0.000 0.000
0.250 0.750 0.500
0.500 0.500 0.000
0.750 0.250 0.500
0.122 0.122 0.750
0.241 0.241 0.494
0.253 0.759 0.000
0.373 0.373 0.250
0.627 0.878 0.000
0.747 0.747 0.506
0.759 0.253 0.000
0.878 0.627 0.000
```

Properties
The density of states at the Fermi level comes out at 17.69 states/eV per cell. The energy relative to the elements comes out at 0.61 eV per atom.